1.
{"formula": "LiSbAsRu2", "functional": "GGA-PBE", "state": "optimized geometry", "n_ef_per_ev_fu": 3.26, "total_energy_ev_per_cell": -25.71, "cell": [[4.437, 0.000, 0.000], [0.000, 4.437, 0.000], [0.000, 0.000, 3.998]], "species": ["Li", "Sb", "As", "Ru", "Ru"], "frac_coords": [[0.000, 0.000, 0.000], [0.500, 0.500, 0.500], [0.000, 0.000, 0.500], [0.000, 0.500, 0.000], [0.500, 0.000, 0.000]]}



2.
{"formula": "LiSiAs2Ru", "functional": "GGA-PBE", "state": "optimized geometry", "n_ef_per_ev_fu": 5.98, "total_energy_ev_per_cell": -24.19, "cell": [[4.910, 0.000, 0.000], [0.000, 4.910, 0.000], [0.000, 0.000, 4.575]], "species": ["Li", "Si", "As", "As", "Ru"], "frac_coords": [[0.000, 0.000, 0.000], [0.500, 0.500, 0.000], [0.000, 0.500, 0.500], [0.500, 0.000, 0.500], [0.500, 0.500, 0.500]]}



3.
{"formula": "LiTiAsRu", "functional": "GGA-PBE", "state": "optimized geometry", "total_energy_ev_per_cell": -104.47, "delta_e_f_ev_per_atom": -0.5959, "cell": [[6.037, 0.000, 0.000], [0.000, 6.037, 0.000], [0.000, 0.000, 6.037]], "species": ["Li", "Li", "Li", "Li", "Ti", "Ti", "Ti", "Ti", "As", "As", "As", "As", "Ru", "Ru", "Ru", "Ru"], "frac_coords": [[0.000, 0.000, 0.000], [0.000, 0.500, 0.500], [0.500, 0.000, 0.500], [0.500, 0.500, 0.000], [0.250, 0.250, 0.250], [0.250, 0.750, 0.750], [0.750, 0.250, 0.750], [0.750, 0.750, 0.250], [0.250, 0.250, 0.750], [0.250, 0.750, 0.250], [0.750, 0.250, 0.250], [0.750, 0.750, 0.750], [0.000, 0.000, 0.500], [0.000, 0.500, 0.000], [0.500, 0.000, 0.000], [0.500, 0.500, 0.500]]}



4.
{"formula": "LiZrAsRu", "functional": "GGA-PBE", "state": "optimized geometry", "n_ef_per_ev_fu": 0.07, "total_energy_ev_per_cell": -107.10, "delta_e_f_ev_per_atom": -0.5966, "cell": [[6.247, 0.000, 0.000], [0.000, 6.247, 0.000], [0.000, 0.000, 6.247]], "species": ["Li", "Li", "Li", "Li", "Zr", "Zr", "Zr", "Zr", "As", "As", "As", "As", "Ru", "Ru", "Ru", "Ru"], "frac_coords": [[0.000, 0.000, 0.000], [0.000, 0.500, 0.500], [0.500, 0.000, 0.500], [0.500, 0.500, 0.000], [0.250, 0.250, 0.750], [0.250, 0.750, 0.250], [0.750, 0.250, 0.250], [0.750, 0.750, 0.750], [0.250, 0.250, 0.250], [0.250, 0.750, 0.750], [0.750, 0.250, 0.750], [0.750, 0.750, 0.250], [0.000, 0.000, 0.500], [0.000, 0.500, 0.000], [0.500, 0.000, 0.000], [0.500, 0.500, 0.500]]}